[1]
## BaPtS2O8 (GGA-PBE)

Data for an optimized crystal structure of BaPtS2O8.

Values from the calculation:
Space group = C2/m, No. 12
Magnetic moment = 0.00 Bohr magnetons per cell
Formation energy without anion corrections = -1.538 eV per atom
Calculated density = 4.3 g/cm³

POSCAR file:
```
BaPtS2O8
1.0
5.469 -2.543 0.000
5.469 2.543 0.000
-4.212 0.000 7.293
Ba Pt S O
1 1 2 8
Direct
0.000 0.000 0.000 Ba
0.000 0.000 0.500 Pt
0.407 0.407 0.228 S
0.593 0.593 0.772 S
0.258 0.741 0.685 O
0.259 0.742 0.315 O
0.284 0.284 0.253 O
0.377 0.377 0.037 O
0.623 0.623 0.963 O
0.716 0.716 0.747 O
0.741 0.258 0.685 O
0.742 0.259 0.315 O
```

[2]
## HoB2Os2 (GGA-PBE)

Data for an optimized crystal structure of HoB2Os2.

Values from the calculation:
Space group = I4/mmm, No. 139
ΔH_f (0 K) = -36.9 kJ per mole of atoms
Magnetic moment = 0.00 Bohr magnetons per cell
Calculated density = 12.5 g/cm³

POSCAR file:
```
HoB2Os2
1.0
-2.013 2.013 4.665
2.013 -2.013 4.665
2.013 2.013 -4.665
Ho B Os
1 2 2
Direct
0.000 0.000 0.000 Ho
0.323 0.323 0.000 B
0.677 0.677 0.000 B
0.250 0.750 0.500 Os
0.750 0.250 0.500 Os
```

[3]
## LaMgBiS2 (GGA-PBE)

Data for an optimized crystal structure of LaMgBiS2.

Values from the calculation:
Space group = P4/mmm, No. 123
Magnetic moment = 0.00 Bohr magnetons per cell
Formation energy without anion corrections = 0.195 eV per atom
Calculated density = 4.1 g/cm³

POSCAR file:
```
LaMgBiS2
1.0
5.397 0.000 0.000
0.000 5.397 0.000
0.000 0.000 6.131
La Mg Bi S
1 1 1 2
Direct
0.000 0.000 0.000 La
0.500 0.500 0.000 Mg
0.000 0.000 0.500 Bi
0.000 0.500 0.500 S
0.500 0.000 0.500 S
```

What is the formula in the first record? BaPtS2O8